This record from Alexandria describes KLiP after structural relaxation. The functional is PBE.

Computed properties:
- Electronic total energy: -3.20 eV/atom
- Polymorph energy (0 for the lowest one): 34.8 meV/atom
- Size of the total moment: 0.00 μB/f.u.
- Formation enthalpy at 0 K: -393 meV per atom

Lattice parameters (Å, degrees): 4.355 7.265 15.340 83.56 90.00 90.00
Fractional positions:
K: 0.750 0.494 0.405
K: 0.250 0.904 0.722
K: 0.750 0.096 0.278
K: 0.750 0.599 0.095
K: 0.250 0.506 0.595
K: 0.250 0.401 0.905
Li: 0.250 0.904 0.952
Li: 0.750 0.208 0.729
Li: 0.750 0.913 0.484
Li: 0.750 0.096 0.048
Li: 0.250 0.087 0.516
Li: 0.250 0.792 0.271
P: 0.250 0.942 0.120
P: 0.250 0.821 0.422
P: 0.750 0.759 0.879
P: 0.750 0.179 0.578
P: 0.250 0.241 0.121
P: 0.750 0.058 0.880